DFT (PBE-GGA) results for crystalline Pm4SiI3 at its relaxed geometry.

Unit cell a=8.216 b=5.898 c=11.436 alpha=90.00 beta=90.00 gamma=90.00
Fractional coordinates of all 16 atoms:
Pm: 0.034 0.749 0.000
Pm: 0.730 0.248 0.000
Pm: 0.119 0.247 0.251
Pm: 0.619 0.753 0.249
Pm: 0.230 0.752 0.500
Pm: 0.534 0.251 0.500
Pm: 0.619 0.753 0.751
Pm: 0.119 0.247 0.749
Si: 0.082 0.249 0.000
Si: 0.582 0.751 0.500
I: 0.436 0.753 0.000
I: 0.998 0.747 0.278
I: 0.498 0.253 0.222
I: 0.936 0.247 0.500
I: 0.498 0.253 0.778
I: 0.998 0.747 0.722

Computed properties:
final energy	-4.232	eV per atom
energy relative to the elements, uncorrected	-57.7	kJ per mole of atoms